Record 1
The following is a DFT calculation (PBE) of crystalline Y5Ho5Tm2 at its relaxed geometry.

abc: 7.9089 7.9089 11.1919
angles: 115.08 115.08 36.86
Positions (direct):
Y1 0.0000 0.0000 0.0000
Y2 0.1655 0.1655 0.4994
Y3 0.2506 0.2506 0.2495
Y4 0.7494 0.7494 0.7505
Y5 0.8345 0.8345 0.5006
Ho1 0.3329 0.3329 0.0000
Ho2 0.4181 0.4181 0.7505
Ho3 0.5000 0.5000 0.5000
Ho4 0.5819 0.5819 0.2495
Ho5 0.6671 0.6671 0.0000
Tm1 0.0835 0.0835 0.7513
Tm2 0.9165 0.9165 0.2487

Properties
Energy above the most stable polymorph in this dataset, eV/atom: 0.000
Calculated volume, Å³/f.u.: 376
Space-group type: C2/m, No. 12



Record 2
The following is a DFT calculation (PBE) of crystalline Y4Ho11Tm9 at its relaxed geometry.

abc: 14.5852 14.5852 3.4965
angles: 90.00 90.00 91.53
Positions (direct):
Y1 0.0534 0.2220 0.0000
Y2 0.2220 0.0534 0.0000
Y3 0.7780 0.9466 0.0000
Y4 0.9466 0.7780 0.0000
Ho1 0.0861 0.4229 0.5000
Ho2 0.1561 0.8439 0.5000
Ho3 0.2610 0.2610 0.5000
Ho4 0.3291 0.6709 0.5000
Ho5 0.4229 0.0861 0.5000
Ho6 0.5000 0.5000 0.5000
Ho7 0.5771 0.9139 0.5000
Ho8 0.6709 0.3291 0.5000
Ho9 0.7390 0.7390 0.5000
Ho10 0.8439 0.1561 0.5000
Ho11 0.9139 0.5771 0.5000
Tm1 0.0000 0.0000 0.0000
Tm2 0.1227 0.6304 0.0000
Tm3 0.2943 0.4654 0.0000
Tm4 0.3696 0.8773 0.0000
Tm5 0.4654 0.2943 0.0000
Tm6 0.5346 0.7057 0.0000
Tm7 0.6304 0.1227 0.0000
Tm8 0.7057 0.5346 0.0000
Tm9 0.8773 0.3696 0.0000

Properties
Calculated total energy, eV/atom: -4.79
Calculated volume, Å³/f.u.: 744
Space-group type: Cmmm, No. 65



Record 3
The following is a DFT calculation (PBE) of crystalline YHo14Tm at its relaxed geometry.

abc: 11.3838 7.0836 7.0836
angles: 60.01 90.00 90.00
Positions (direct):
Y1 0.0000 0.0000 0.0000
Ho1 0.0000 0.0004 0.4996
Ho2 0.0000 0.4996 0.0004
Ho3 0.2492 0.6667 0.6667
Ho4 0.2502 0.1673 0.6661
Ho5 0.2502 0.6661 0.1673
Ho6 0.2508 0.1671 0.1671
Ho7 0.5000 0.3337 0.3337
Ho8 0.5000 0.3341 0.8334
Ho9 0.5000 0.8334 0.3341
Ho10 0.5000 0.8336 0.8336
Ho11 0.7492 0.1671 0.1671
Ho12 0.7498 0.1673 0.6661
Ho13 0.7498 0.6661 0.1673
Ho14 0.7508 0.6667 0.6667
Tm1 0.0000 0.4998 0.4998

Properties
Calculated total energy, eV/atom: -4.68
Calculated volume, Å³/f.u.: 495
Space-group type: Amm2, No. 38



Record 4
The following is a DFT calculation (PBE) of crystalline Y3HoTm5 at its relaxed geometry.

abc: 9.4092 9.4092 9.9785
angles: 121.61 121.61 73.02
Positions (direct):
Y1 0.0000 0.0000 0.0000
Y2 0.0116 0.0116 0.3126
Y3 0.4759 0.4759 0.1325
Y4 0.5000 0.5000 0.5000
Y5 0.5241 0.5241 0.8675
Y6 0.9884 0.9884 0.6874
Ho1 0.2490 0.2490 0.1045
Ho2 0.7510 0.7510 0.8955
Tm1 0.0918 0.5932 0.7443
Tm2 0.2180 0.2180 0.7294
Tm3 0.2391 0.7609 0.5000
Tm4 0.2798 0.2798 0.4679
Tm5 0.4068 0.9082 0.2557
Tm6 0.5932 0.0918 0.7443
Tm7 0.7202 0.7202 0.5321
Tm8 0.7609 0.2391 0.5000
Tm9 0.7820 0.7820 0.2706
Tm10 0.9082 0.4068 0.2557

Properties
Energy above the most stable polymorph in this dataset, eV/atom: 0.241
Calculated volume, Å³/f.u.: 320
Space-group type: C2/m, No. 12



Record 5
The following is a DFT calculation (PBE) of crystalline Y2Ho2Tm5 at its relaxed geometry.

abc: 8.6192 8.6192 6.3088
angles: 105.10 105.10 38.48
Positions (direct):
Y1 0.0622 0.0622 0.2896
Y2 0.9378 0.9378 0.7104
Ho1 0.3988 0.3988 0.9880
Ho2 0.6012 0.6012 0.0120
Tm1 0.1811 0.1811 0.8583
Tm2 0.2917 0.2917 0.4295
Tm3 0.5000 0.5000 0.5000
Tm4 0.7083 0.7083 0.5705
Tm5 0.8189 0.8189 0.1417

Properties
Energy above the most stable polymorph in this dataset, eV/atom: 0.000
Calculated volume, Å³/f.u.: 280
Space-group type: C2/m, No. 12



Record 6
The following is a DFT calculation (PBE) of crystalline YHoTm4 at its relaxed geometry.

abc: 3.5074 4.9599 10.5177
angles: 90.02 90.23 90.12
Positions (direct):
Y1 0.0000 0.0000 0.0000
Ho1 0.5000 0.5000 0.5000
Tm1 0.9997 0.0000 0.3338
Tm2 0.0003 0.0000 0.6662
Tm3 0.5001 0.5000 0.1683
Tm4 0.4999 0.5000 0.8317

Properties
Energy above the most stable polymorph in this dataset, eV/atom: 0.000
Calculated volume, Å³/f.u.: 183
Space-group type: P-1, No. 2



Record 7
The following is a DFT calculation (PBE) of crystalline YHoTm3 at its relaxed geometry.

abc: 3.5825 11.3643 8.4663
angles: 90.00 102.21 90.00
Positions (direct):
Y1 0.0133 0.2500 0.0275
Y2 0.9867 0.7500 0.9725
Ho1 0.3121 0.7500 0.6242
Ho2 0.6879 0.2500 0.3758
Tm1 0.1562 0.9999 0.3122
Tm2 0.1562 0.5001 0.3122
Tm3 0.3463 0.2500 0.6929
Tm4 0.6537 0.7500 0.3071
Tm5 0.8438 0.0001 0.6878
Tm6 0.8438 0.4999 0.6878

Properties
Energy above the most stable polymorph in this dataset, eV/atom: 0.325
Calculated volume, Å³/f.u.: 168
Space-group type: P2_1/m, No. 11



Record 8
The following is a DFT calculation (PBE) of crystalline YHoTm4 at its relaxed geometry.

abc: 8.4335 8.4335 6.3853
angles: 100.03 100.03 118.10
Positions (direct):
Y1 0.0860 0.9140 0.7500
Y2 0.9140 0.0860 0.2500
Ho1 0.4980 0.5020 0.2500
Ho2 0.5020 0.4980 0.7500
Tm1 0.0728 0.3358 0.8777
Tm2 0.2107 0.6007 0.4678
Tm3 0.3358 0.0728 0.3777
Tm4 0.3993 0.7893 0.0322
Tm5 0.6007 0.2107 0.9678
Tm6 0.6642 0.9272 0.6223
Tm7 0.7893 0.3993 0.5322
Tm8 0.9272 0.6642 0.1223

Properties
Energy above the most stable polymorph in this dataset, eV/atom: 0.119
Calculated volume, Å³/f.u.: 188
Space-group type: C2/c, No. 15



Record 9
The following is a DFT calculation (PBE) of crystalline Y5Ho12Tm2 at its relaxed geometry.

abc: 9.1078 9.1078 8.4852
angles: 91.05 91.05 59.87
Positions (direct):
Y1 0.0000 0.0000 0.0000
Y2 0.2337 0.2337 0.0731
Y3 0.3011 0.3011 0.4902
Y4 0.6989 0.6989 0.5098
Y5 0.7663 0.7663 0.9269
Ho1 0.0288 0.6633 0.2561
Ho2 0.0912 0.0912 0.3877
Ho3 0.1797 0.5677 0.8348
Ho4 0.3367 0.9712 0.7439
Ho5 0.4323 0.8203 0.1652
Ho6 0.4433 0.4433 0.1635
Ho7 0.5567 0.5567 0.8365
Ho8 0.5677 0.1797 0.8348
Ho9 0.6633 0.0288 0.2561
Ho10 0.8203 0.4323 0.1652
Ho11 0.9088 0.9088 0.6123
Ho12 0.9712 0.3367 0.7439
Tm1 0.3226 0.6774 0.5000
Tm2 0.6774 0.3226 0.5000

Properties
Energy above the most stable polymorph in this dataset, eV/atom: 0.030
Calculated volume, Å³/f.u.: 609
Space-group type: C2/m, No. 12



Record 10
The following is a DFT calculation (PBE) of crystalline Y4Ho4Tm5 at its relaxed geometry.

abc: 9.3297 9.3297 9.3297
angles: 94.08 94.08 149.06
Positions (direct):
Y1 0.1531 0.2298 0.3828
Y2 0.2298 0.8469 0.0767
Y3 0.7702 0.1531 0.9233
Y4 0.8469 0.7702 0.6172
Ho1 0.0768 0.6149 0.6917
Ho2 0.3851 0.0768 0.4619
Ho3 0.6149 0.9232 0.5381
Ho4 0.9232 0.3851 0.3083
Tm1 0.0000 0.0000 0.0000
Tm2 0.3084 0.4622 0.7706
Tm3 0.4622 0.6916 0.1538
Tm4 0.5378 0.3084 0.8462
Tm5 0.6916 0.5378 0.2294

Properties
Calculated total energy, eV/atom: -5.09
Calculated volume, Å³/f.u.: 402
Space-group type: I4/m, No. 87



Question: Look up the calculated volume of the second one.
Answer: 744 Å³/f.u.



Repeat the seventh record exactly.
The following is a DFT calculation (PBE) of crystalline YHoTm3 at its relaxed geometry.

abc: 3.5825 11.3643 8.4663
angles: 90.00 102.21 90.00
Positions (direct):
Y1 0.0133 0.2500 0.0275
Y2 0.9867 0.7500 0.9725
Ho1 0.3121 0.7500 0.6242
Ho2 0.6879 0.2500 0.3758
Tm1 0.1562 0.9999 0.3122
Tm2 0.1562 0.5001 0.3122
Tm3 0.3463 0.2500 0.6929
Tm4 0.6537 0.7500 0.3071
Tm5 0.8438 0.0001 0.6878
Tm6 0.8438 0.4999 0.6878

Properties
Energy above the most stable polymorph in this dataset, eV/atom: 0.325
Calculated volume, Å³/f.u.: 168
Space-group type: P2_1/m, No. 11